## one
Entry from Alexandria: a geometry-optimized CsSiOs structure (PBE-GGA).

- space group = C2/m, No. 12
- spin magnetization (μB per atom) = 0.0003

abc: 11.472 5.566 7.654
angles: 90.00 97.20 90.00
Sites, in units of the cell vectors:
Os1 0.486 0.000 0.726
Os2 0.486 0.500 0.226
Os3 0.514 0.500 0.774
Os4 0.514 0.000 0.274
Si1 0.500 0.210 0.000
Si2 0.500 0.710 0.500
Si3 0.500 0.790 0.000
Si4 0.500 0.290 0.500
Cs1 0.224 0.500 0.756
Cs2 0.776 0.000 0.744
Cs3 0.776 0.500 0.244
Cs4 0.224 0.000 0.256

=====

## two
Entry from Alexandria: a geometry-optimized CsSiOs structure (PBE-GGA).

- space group = P1, No. 1
- spin magnetization (μB per atom) = 0.0002

abc: 4.004 5.317 11.432
angles: 89.93 85.32 90.00
Sites, in units of the cell vectors:
Cs1 0.655 0.075 0.645
Cs2 0.327 0.575 0.205
Si1 0.109 0.816 0.923
Si2 0.109 0.315 0.925
Os1 0.605 0.065 0.940
Os2 0.613 0.565 0.914

=====

## three
Entry from Alexandria: a geometry-optimized CsSiOs structure (PBE-GGA).

- space group = I4mm, No. 107
- spin magnetization (μB per atom) = 0.0013

abc: 3.274 3.274 13.480
angles: 90.00 90.00 90.00
Sites, in units of the cell vectors:
Si1 0.500 0.500 0.224
Si2 0.000 0.000 0.724
Cs1 0.000 0.000 0.447
Cs2 0.500 0.500 0.947
Os1 0.000 0.000 0.170
Os2 0.500 0.500 0.670

=====

Most stable of them? one.

=====

## one
Entry from Alexandria: a geometry-optimized Cs2SiOs structure (PBE-GGA).

- space group = I-42d, No. 122
- spin magnetization (μB per atom) = 0.2336

abc: 9.584 9.584 9.584
angles: 93.28 93.28 152.32
Sites, in units of the cell vectors:
Cs1 0.063 0.375 0.188
Cs2 0.187 0.875 0.812
Cs3 0.125 0.937 0.312
Cs4 0.625 0.813 0.688
Si1 0.500 0.500 0.000
Si2 0.750 0.250 0.500
Os1 0.000 0.000 0.000
Os2 0.250 0.750 0.500

=====

## two
Entry from Alexandria: a geometry-optimized Cs2SiOs structure (PBE-GGA).

- space group = Fm-3m, No. 225
- spin magnetization (μB per atom) = 0.2543

abc: 5.822 5.822 5.822
angles: 60.00 60.00 60.00
Sites, in units of the cell vectors:
Os1 0.500 0.500 0.500
Cs1 0.750 0.750 0.750
Cs2 0.250 0.250 0.250
Si1 0.000 0.000 0.000

=====

Most stable of them? one.

=====

## one
Entry from Alexandria: a geometry-optimized CsTa3Os structure (PBE-GGA).

- space group = Pm-3m, No. 221
- spin magnetization (μB per atom) = 0.0000

abc: 4.908 4.908 4.908
angles: 90.00 90.00 90.00
Sites, in units of the cell vectors:
Ta1 0.500 0.000 0.000
Ta2 0.000 0.500 0.000
Ta3 0.000 0.000 0.500
Cs1 0.000 0.000 0.000
Os1 0.500 0.500 0.500

=====

## two
Entry from Alexandria: a geometry-optimized CsTa3Os structure (PBE-GGA).

- space group = Pm-3m, No. 221
- spin magnetization (μB per atom) = 0.0000

abc: 5.036 5.036 5.036
angles: 90.00 90.00 90.00
Sites, in units of the cell vectors:
Ta1 0.500 0.000 0.000
Ta2 0.000 0.500 0.000
Ta3 0.000 0.000 0.500
Os1 0.000 0.000 0.000
Cs1 0.500 0.500 0.500

=====

Most stable of them? two.

=====

## one
Entry from Alexandria: a geometry-optimized CsTc2Os2 structure (PBE-GGA).

- space group = P4/mbm, No. 127
- spin magnetization (μB per atom) = 0.0000

abc: 8.027 8.027 2.843
angles: 90.00 90.00 90.00
Sites, in units of the cell vectors:
Os1 0.120 0.620 0.500
Os2 0.380 0.120 0.500
Os3 0.620 0.880 0.500
Os4 0.880 0.380 0.500
Tc1 0.844 0.656 0.000
Tc2 0.344 0.844 0.000
Tc3 0.656 0.156 0.000
Tc4 0.156 0.344 0.000
Cs1 0.000 0.000 0.000
Cs2 0.500 0.500 0.000

=====

## two
Entry from Alexandria: a geometry-optimized CsTc2Os2 structure (PBE-GGA).

- space group = I4/mmm, No. 139
- spin magnetization (μB per atom) = 0.0000

abc: 4.362 4.362 7.062
angles: 72.01 72.01 90.00
Sites, in units of the cell vectors:
Tc1 0.660 0.660 0.681
Tc2 0.340 0.340 0.319
Os1 0.750 0.250 0.500
Os2 0.250 0.750 0.500
Cs1 0.000 0.000 0.000

=====

Most stable of them? one.

=====

## one
Entry from Alexandria: a geometry-optimized CsTc2Os structure (PBE-GGA).

- space group = Fm-3m, No. 225
- spin magnetization (μB per atom) = 0.0000

abc: 4.651 4.651 4.651
angles: 60.00 60.00 60.00
Sites, in units of the cell vectors:
Tc1 0.750 0.750 0.750
Tc2 0.250 0.250 0.250
Os1 0.500 0.500 0.500
Cs1 0.000 0.000 0.000

=====

## two
Entry from Alexandria: a geometry-optimized CsTc2Os structure (PBE-GGA).

- space group = I-42d, No. 122
- spin magnetization (μB per atom) = 0.0000

abc: 7.404 7.404 6.251
angles: 53.69 53.69 90.00
Sites, in units of the cell vectors:
Cs1 0.500 0.500 0.000
Cs2 0.250 0.750 0.500
Tc1 0.875 0.952 0.750
Tc2 0.702 0.125 0.250
Tc3 0.048 0.625 0.250
Tc4 0.375 0.298 0.750
Os1 0.750 0.250 0.500
Os2 0.000 0.000 0.000

=====

Most stable of them? two.

=====

## one
Entry from Alexandria: a geometry-optimized CsTiOs3 structure (PBE-GGA).

- space group = Pm-3m, No. 221
- spin magnetization (μB per atom) = 0.6340

abc: 4.825 4.825 4.825
angles: 90.00 90.00 90.00
Sites, in units of the cell vectors:
Cs1 0.500 0.500 0.500
Os1 0.500 0.000 0.000
Os2 0.000 0.500 0.000
Os3 0.000 0.000 0.500
Ti1 0.000 0.000 0.000

=====

## two
Entry from Alexandria: a geometry-optimized CsTiOs3 structure (PBE-GGA).

- space group = Pm-3m, No. 221
- spin magnetization (μB per atom) = 0.0001

abc: 4.855 4.855 4.855
angles: 90.00 90.00 90.00
Sites, in units of the cell vectors:
Os1 0.000 0.000 0.500
Os2 0.000 0.500 0.000
Os3 0.500 0.000 0.000
Ti1 0.500 0.500 0.500
Cs1 0.000 0.000 0.000

=====

Most stable of them? one.

=====

## one
Entry from Alexandria: a geometry-optimized CsTi3Os structure (PBE-GGA).

- space group = Pm-3m, No. 221
- spin magnetization (μB per atom) = 0.0766

abc: 4.800 4.800 4.800
angles: 90.00 90.00 90.00
Sites, in units of the cell vectors:
Ti1 0.000 0.000 0.500
Ti2 0.000 0.500 0.000
Ti3 0.500 0.000 0.000
Cs1 0.000 0.000 0.000
Os1 0.500 0.500 0.500

=====

## two
Entry from Alexandria: a geometry-optimized CsTi3Os structure (PBE-GGA).

- space group = Pm-3m, No. 221
- spin magnetization (μB per atom) = 0.0061

abc: 4.970 4.970 4.970
angles: 90.00 90.00 90.00
Sites, in units of the cell vectors:
Os1 0.000 0.000 0.000
Ti1 0.000 0.500 0.000
Ti2 0.500 0.000 0.000
Ti3 0.000 0.000 0.500
Cs1 0.500 0.500 0.500

=====

Most stable of them? two.

=====

## one
Entry from Alexandria: a geometry-optimized CsVOs3 structure (PBE-GGA).

- space group = Pm-3m, No. 221
- spin magnetization (μB per atom) = 0.1816

abc: 4.905 4.905 4.905
angles: 90.00 90.00 90.00
Sites, in units of the cell vectors:
Os1 0.000 0.500 0.000
Os2 0.000 0.000 0.500
Os3 0.500 0.000 0.000
V1 0.500 0.500 0.500
Cs1 0.000 0.000 0.000

=====

## two
Entry from Alexandria: a geometry-optimized CsVOs3 structure (PBE-GGA).

- space group = Pm-3m, No. 221
- spin magnetization (μB per atom) = 0.4365

abc: 4.737 4.737 4.737
angles: 90.00 90.00 90.00
Sites, in units of the cell vectors:
Os1 0.000 0.000 0.500
Os2 0.000 0.500 0.000
Os3 0.500 0.000 0.000
V1 0.000 0.000 0.000
Cs1 0.500 0.500 0.500

=====

Most stable of them? two.

=====

## one
Entry from Alexandria: a geometry-optimized CsOsW2 structure (PBE-GGA).

- space group = Fm-3m, No. 225
- spin magnetization (μB per atom) = 0.0000

abc: 4.681 4.681 4.681
angles: 60.00 60.00 60.00
Sites, in units of the cell vectors:
W1 0.750 0.750 0.750
W2 0.250 0.250 0.250
Os1 0.500 0.500 0.500
Cs1 0.000 0.000 0.000

=====

## two
Entry from Alexandria: a geometry-optimized CsOsW2 structure (PBE-GGA).

- space group = I-42d, No. 122
- spin magnetization (μB per atom) = 0.0001

abc: 7.677 7.677 6.304
angles: 52.49 52.49 90.00
Sites, in units of the cell vectors:
W1 0.375 0.302 0.750
W2 0.052 0.625 0.250
W3 0.875 0.948 0.750
W4 0.698 0.125 0.250
Cs1 0.250 0.750 0.500
Cs2 0.500 0.500 0.000
Os1 0.750 0.250 0.500
Os2 0.000 0.000 0.000

=====

Most stable of them? one.

=====

## one
Entry from Alexandria: a geometry-optimized CsZn3Os structure (PBE-GGA).

- space group = Pm-3m, No. 221
- spin magnetization (μB per atom) = 0.0000

abc: 5.027 5.027 5.027
angles: 90.00 90.00 90.00
Sites, in units of the cell vectors:
Zn1 0.000 0.000 0.500
Zn2 0.000 0.500 0.000
Zn3 0.500 0.000 0.000
Os1 0.000 0.000 0.000
Cs1 0.500 0.500 0.500

=====

## two
Entry from Alexandria: a geometry-optimized CsZn3Os structure (PBE-GGA).

- space group = Pm-3m, No. 221
- spin magnetization (μB per atom) = 0.6016

abc: 6.841 6.841 6.841
angles: 90.00 90.00 90.00
Sites, in units of the cell vectors:
Zn1 0.000 0.000 0.500
Zn2 0.500 0.000 0.000
Zn3 0.000 0.500 0.000
Os1 0.500 0.500 0.500
Cs1 0.000 0.000 0.000

=====

Most stable of them? one.

=====

## one
Entry from Alexandria: a geometry-optimized CsZn2Os structure (PBE-GGA).

- space group = I4_1/amd, No. 141
- spin magnetization (μB per atom) = 0.2289

abc: 5.800 5.800 8.904
angles: 70.99 70.99 90.00
Sites, in units of the cell vectors:
Zn1 0.875 0.125 0.750
Zn2 0.875 0.625 0.250
Zn3 0.375 0.125 0.750
Zn4 0.875 0.125 0.250
Cs1 0.500 0.500 0.000
Cs2 0.250 0.750 0.500
Os1 0.000 0.000 0.000
Os2 0.750 0.250 0.500

=====

## two
Entry from Alexandria: a geometry-optimized CsZn2Os structure (PBE-GGA).

- space group = Fm-3m, No. 225
- spin magnetization (μB per atom) = 0.1862

abc: 5.011 5.011 5.011
angles: 60.00 60.00 60.00
Sites, in units of the cell vectors:
Cs1 0.000 0.000 0.000
Zn1 0.750 0.750 0.750
Zn2 0.250 0.250 0.250
Os1 0.500 0.500 0.500

=====

Most stable of them? one.

=====

## one
Entry from Alexandria: a geometry-optimized CsZnOs3 structure (PBE-GGA).

- space group = Pm-3m, No. 221
- spin magnetization (μB per atom) = 0.8465

abc: 4.970 4.970 4.970
angles: 90.00 90.00 90.00
Sites, in units of the cell vectors:
Os1 0.000 0.000 0.500
Os2 0.000 0.500 0.000
Os3 0.500 0.000 0.000
Zn1 0.500 0.500 0.500
Cs1 0.000 0.000 0.000

=====

## two
Entry from Alexandria: a geometry-optimized CsZnOs3 structure (PBE-GGA).

- space group = Pm-3m, No. 221
- spin magnetization (μB per atom) = 0.7701

abc: 4.777 4.777 4.777
angles: 90.00 90.00 90.00
Sites, in units of the cell vectors:
Os1 0.000 0.500 0.000
Os2 0.500 0.000 0.000
Os3 0.000 0.000 0.500
Cs1 0.500 0.500 0.500
Zn1 0.000 0.000 0.000

=====

Most stable of them? two.